DFT (PBE) results for a relaxed KPd2Pb crystal.

Lattice parameters (Å, degrees): 4.7405 4.7405 17.5714 90.00 90.00 120.00
Space group R-3m (No. 166, hexagonal axes)
Unique sites:
1 K 0.0000 0.0000 0.0000 (multiplicity 3)
2 Pd 0.0000 0.0000 0.1871 (multiplicity 6)
3 Pb 0.0000 0.0000 0.5000 (multiplicity 3)

## Properties
Formation energy in meV/atom: -210
Density of states at the Fermi level in states/eV/f.u.: 2.2
Spin magnetization in μB per formula unit: 0.0